## VMoPb2O6 (GGA+U)

Data for a geometry-optimized VMoPb2O6 structure.

Properties
As for the crystal system: tetragonal. Its total energy is -6.708 eV per atom.

Lattice parameters (Å, degrees): 5.7832 5.7832 4.0239 90.00 90.00 90.00
With the nearest neighbours (Å) after each atom.
Fractional coordinates of all 10 atoms:
V 0.0000 0.0000 0.0000  1 O 1.73
Mo 0.5000 0.5000 0.0407  6 O 1.98-2.11
Pb 0.0000 0.5000 0.4473  4 O 2.52
Pb 0.5000 0.0000 0.4473  4 O 2.52
O 0.0000 0.0000 0.5694  1 V 1.73
O 0.2430 0.2430 0.0813  1 V 2.01, 1 Mo 2.11
O 0.2430 0.7570 0.0813  1 V 2.01, 1 Mo 2.11
O 0.5000 0.5000 0.5494  2 Mo 1.98-2.05
O 0.7570 0.2430 0.0813  1 V 2.01, 1 Mo 2.11
O 0.7570 0.7570 0.0813  1 V 2.01, 1 Mo 2.11